[1]
## Ru5Pt3S12 (PBE)

Data for an optimized crystal structure of Ru5Pt3S12.

The structure belongs to space group Ia-3d (No. 230); the cell edges are 14.113, 14.113 and 14.113 Å and the angles 90.00°, 90.00° and 90.00°. Symmetry generates all atoms from Ru at (0.000, 0.000, 0.000), Ru at (0.000, 0.250, 0.375), Pt at (0.000, 0.250, 0.125) and S at (0.036, 0.074, 0.644).

[2]
## TeRu2PtS (PBE)

Data for an optimized crystal structure of TeRu2PtS.

The structure belongs to space group P4/mmm (No. 123); the cell edges are 5.046, 5.046 and 4.341 Å and the angles 90.00°, 90.00° and 90.00°. Symmetry generates all atoms from Te at (0.000, 0.000, 0.000), Ru at (0.000, 0.500, 0.500), Pt at (0.500, 0.500, 0.500) and S at (0.500, 0.500, 0.000).

[3]
## SbRu2Pt (PBE)

Data for an optimized crystal structure of SbRu2Pt.

The structure belongs to space group C2/m (No. 12); the cell edges are 8.981, 2.982 and 5.013 Å and the angles 90.00°, 104.35° and 90.00°. Symmetry generates all atoms from Sb at (0.000, 0.000, 0.000), Ru at (0.243, 0.500, 0.271) and Pt at (0.000, 0.500, 0.500).

[4]
## SbRu2Pt (PBE)

Data for an optimized crystal structure of SbRu2Pt.

The structure belongs to space group Pmmm (No. 47); the cell edges are 2.992, 3.703 and 5.804 Å and the angles 90.00°, 90.00° and 90.00°. Symmetry generates all atoms from Sb at (0.000, 0.000, 0.000), Ru at (0.500, 0.500, 0.260) and Pt at (0.000, 0.000, 0.500).

The records above yield ΔE_f (raw) values of 0.02 1.25 0.12 0.21 eV/atom, respectively.
The records above yield mass density values of 6.972 8.367 13.252 13.402 g/cm3, respectively.
The records above yield volume values of 17.6 22.1 16.3 16.1 Å³ per atom, respectively.